Entry 1:
First-principles (PBE-GGA) data for an optimized crystal structure of Rb2Au3Br8, as listed in Alexandria.

The total energy is -64.56 eV/cell. As for the theoretical density: 4.75 g cm⁻³. As for the uncorrected formation energy: -53 kJ/mol of atoms.

The space group is C2/m (No. 12) and the conventional cell measures 14.611, 8.555 and 8.102 Å, with angles of 90.00, 104.75 and 90.00 degrees. The asymmetric unit holds Rb at (0.214, 0.000, 0.122), Au at (0.000, 0.216, 0.500), Au at (0.000, 0.500, 0.000), Br at (0.065, 0.269, 0.814), Br at (0.141, 0.000, 0.493) and Br at (0.162, 0.500, 0.204).

=====

Entry 2:
First-principles (PBE-GGA) data for an optimized crystal structure of Rb9Au4Br2, as listed in Alexandria.

The total energy is -135.26 eV/cell. As for the theoretical density: 3.60 g cm⁻³. As for the uncorrected formation energy: -56 kJ/mol of atoms.

The space group is C2/c (No. 15) and the conventional cell measures 14.958, 8.637 and 24.507 Å, with angles of 90.00, 90.01 and 90.00 degrees. The asymmetric unit holds Rb at (0.000, 0.188, 0.250), Rb at (0.006, 0.156, 0.916), Rb at (0.156, 0.343, 0.750), Rb at (0.169, 0.319, 0.416), Rb at (0.175, 0.338, 0.084), Au at (0.167, 0.000, 0.004), Au at (0.167, 0.000, 0.325) and Br at (0.000, 0.500, 0.158).

=====

Entry 3:
First-principles (PBE-GGA) data for an optimized crystal structure of RbAu2Br7, as listed in Alexandria.

The total energy is -45.39 eV/cell. As for the theoretical density: 4.67 g cm⁻³. As for the uncorrected formation energy: -33 kJ/mol of atoms.

The space group is Cmmm (No. 65) and the conventional cell measures 8.150, 19.402 and 4.673 Å, with angles of 90.00, 90.00 and 90.00 degrees. The asymmetric unit holds Rb at (0.000, 0.000, 0.000), Au at (0.000, 0.362, 0.500), Br at (0.000, 0.301, 0.000), Br at (0.000, 0.500, 0.500) and Br at (0.194, 0.136, 0.500).

=====

Entry 4:
First-principles (PBE-GGA) data for an optimized crystal structure of RbAu2Br2, as listed in Alexandria.

The total energy is -25.03 eV/cell. As for the theoretical density: 7.11 g cm⁻³. As for the uncorrected formation energy: -32 kJ/mol of atoms.

The space group is P4/mbm (No. 127) and the conventional cell measures 8.596, 8.596 and 4.040 Å, with angles of 90.00, 90.00 and 90.00 degrees. The asymmetric unit holds Rb at (0.000, 0.000, 0.000), Au at (0.108, 0.392, 0.000) and Br at (0.238, 0.738, 0.500).

=====

Entry 5:
First-principles (PBE-GGA) data for an optimized crystal structure of Rb2AuBr, as listed in Alexandria.

The total energy is -10.81 eV/cell. As for the theoretical density: 5.04 g cm⁻³. As for the uncorrected formation energy: -95 kJ/mol of atoms.

The space group is P4/mmm (No. 123) and the conventional cell measures 4.180, 4.180 and 8.443 Å, with angles of 90.00, 90.00 and 90.00 degrees. The asymmetric unit holds Rb at (0.000, 0.000, 0.245), Au at (0.500, 0.500, 0.500) and Br at (0.500, 0.500, 0.000).

=====

Entry 6:
First-principles (PBE-GGA) data for an optimized crystal structure of Rb8Au4Br3, as listed in Alexandria.

The total energy is -76.45 eV/cell. As for the theoretical density: 4.04 g cm⁻³. As for the uncorrected formation energy: -79 kJ/mol of atoms.

The space group is C2/m (No. 12) and the conventional cell measures 14.090, 14.121 and 9.943 Å, with angles of 90.00, 134.68 and 90.00 degrees. The asymmetric unit holds Rb at (0.000, 0.247, 0.000), Rb at (0.000, 0.250, 0.500), Rb at (0.245, 0.000, 0.494), Rb at (0.246, 0.000, 0.995), Au at (0.000, 0.000, 0.000), Au at (0.000, 0.500, 0.500), Au at (0.250, 0.250, 0.000), Br at (0.000, 0.000, 0.500) and Br at (0.250, 0.250, 0.500).

=====

Entry 7:
First-principles (PBE-GGA) data for an optimized crystal structure of Rb2AuBr, as listed in Alexandria.

The total energy is -43.02 eV/cell. As for the theoretical density: 4.99 g cm⁻³. As for the uncorrected formation energy: -93 kJ/mol of atoms.

The space group is Fm-3m (No. 225) and the conventional cell measures 8.414, 8.414 and 8.414 Å, with angles of 90.00, 90.00 and 90.00 degrees. The asymmetric unit holds Rb at (0.250, 0.250, 0.250), Au at (0.000, 0.000, 0.000) and Br at (0.000, 0.000, 0.500).

=====

Entry 8:
First-principles (PBE-GGA) data for an optimized crystal structure of Rb7Au3Br, as listed in Alexandria.

The total energy is -45.66 eV/cell. As for the theoretical density: 3.73 g cm⁻³. As for the uncorrected formation energy: -40 kJ/mol of atoms.

The space group is Cm (No. 8) and the conventional cell measures 11.829, 11.857 and 9.885 Å, with angles of 90.00, 125.47 and 90.00 degrees. The asymmetric unit holds Rb at (0.000, 0.000, 0.000), Rb at (0.057, 0.500, 0.302), Rb at (0.246, 0.289, 0.045), Rb at (0.303, 0.000, 0.597), Rb at (0.495, 0.297, 0.555), Au at (0.125, 0.214, 0.299), Au at (0.226, 0.000, 0.892) and Br at (0.138, 0.500, 0.728).

=====

Entry 9:
First-principles (PBE-GGA) data for an optimized crystal structure of RbAuBr3, as listed in Alexandria.

The total energy is -106.10 eV/cell. As for the theoretical density: 4.74 g cm⁻³. As for the uncorrected formation energy: -77 kJ/mol of atoms.

The space group is Cmce (No. 64) and the conventional cell measures 10.650, 16.874 and 8.137 Å, with angles of 90.00, 90.00 and 90.00 degrees. The asymmetric unit holds Rb at (0.250, 0.163, 0.250), Au at (0.000, 0.105, 0.692), Br at (0.000, 0.036, 0.223), Br at (0.000, 0.235, 0.551) and Br at (0.250, 0.117, 0.750).

=====

Entry 10:
First-principles (PBE-GGA) data for an optimized crystal structure of RbAuBr3, as listed in Alexandria.

The total energy is -106.93 eV/cell. As for the theoretical density: 4.46 g cm⁻³. As for the uncorrected formation energy: -79 kJ/mol of atoms.

The space group is C2/c (No. 15) and the conventional cell measures 13.294, 9.013 and 13.772 Å, with angles of 90.00, 109.51 and 90.00 degrees. The asymmetric unit holds Rb at (0.130, 0.181, 0.141), Au at (0.000, 0.129, 0.750), Au at (0.250, 0.250, 0.500), Br at (0.112, 0.387, 0.363), Br at (0.122, 0.218, 0.598) and Br at (0.165, 0.112, 0.895).

=====

Entry 11:
First-principles (PBE-GGA) data for an optimized crystal structure of Rb6AuBr4, as listed in Alexandria.

The total energy is -119.68 eV/cell. As for the theoretical density: 3.34 g cm⁻³. As for the uncorrected formation energy: -124 kJ/mol of atoms.

The space group is Cmcm (No. 63) and the conventional cell measures 4.861, 16.600 and 25.343 Å, with angles of 90.00, 90.00 and 90.00 degrees. The asymmetric unit holds Rb at (0.000, 0.000, 0.000), Rb at (0.000, 0.187, 0.250), Rb at (0.000, 0.274, 0.584), Rb at (0.000, 0.452, 0.166), Au at (0.000, 0.154, 0.750), Br at (0.000, 0.093, 0.125) and Br at (0.000, 0.362, 0.042).

=====

Entry 12:
First-principles (PBE-GGA) data for an optimized crystal structure of Rb2AuBr4, as listed in Alexandria.

The total energy is -37.68 eV/cell. As for the theoretical density: 4.31 g cm⁻³. As for the uncorrected formation energy: -96 kJ/mol of atoms.

The space group is P2_1/m (No. 11) and the conventional cell measures 8.126, 6.804 and 9.980 Å, with angles of 90.00, 106.04 and 90.00 degrees. The asymmetric unit holds Rb at (0.206, 0.250, 0.435), Rb at (0.248, 0.250, 0.932), Au at (0.281, 0.750, 0.168), Br at (0.088, 0.750, 0.364), Br at (0.091, 0.750, 0.917) and Br at (0.495, 0.521, 0.736).

=====

Entry 13:
First-principles (PBE-GGA) data for an optimized crystal structure of RbAuBr3, as listed in Alexandria.

The total energy is -13.25 eV/cell. As for the theoretical density: 5.41 g cm⁻³. As for the uncorrected formation energy: -77 kJ/mol of atoms.

The space group is Pm-3m (No. 221) and the conventional cell measures 5.433, 5.433 and 5.433 Å, with angles of 90.00, 90.00 and 90.00 degrees. The asymmetric unit holds Rb at (0.000, 0.000, 0.000), Au at (0.500, 0.500, 0.500) and Br at (0.000, 0.500, 0.500).

=====

Entry 14:
First-principles (PBE-GGA) data for an optimized crystal structure of Rb3Au2Br8, as listed in Alexandria.

The total energy is -98.03 eV/cell. As for the theoretical density: 4.45 g cm⁻³. As for the uncorrected formation energy: -73 kJ/mol of atoms.

The space group is R-3m (No. 166, hexagonal axes) and the conventional cell measures 7.2641, 7.2641 and 31.6179 Å, with angles of 90.00, 90.00 and 120.00 degrees. The asymmetric unit holds Rb at (0.0000, 0.0000, 0.0000), Rb at (0.0000, 0.0000, 0.2074), Au at (0.0000, 0.0000, 0.3954), Br at (0.0000, 0.0000, 0.3159) and Br at (0.0231, 0.5116, 0.7703).

=====

Entry 15:
First-principles (PBE-GGA) data for an optimized crystal structure of Rb4Au3Br, as listed in Alexandria.

The total energy is -40.85 eV/cell. As for the theoretical density: 4.75 g cm⁻³. As for the uncorrected formation energy: -61 kJ/mol of atoms.

The space group is P2/c (No. 13) and the conventional cell measures 8.685, 10.015 and 8.643 Å, with angles of 90.00, 109.52 and 90.00 degrees. The asymmetric unit holds Rb at (0.245, 0.123, 0.001), Rb at (0.248, 0.372, 0.497), Au at (0.000, 0.375, 0.750), Au at (0.500, 0.125, 0.750), Au at (0.500, 0.376, 0.250) and Br at (0.000, 0.124, 0.250).

=====

Entry 16:
First-principles (PBE-GGA) data for an optimized crystal structure of Rb3AuBr6, as listed in Alexandria.

The total energy is -54.93 eV/cell. As for the theoretical density: 3.78 g cm⁻³. As for the uncorrected formation energy: -109 kJ/mol of atoms.

The space group is P2_1/c (No. 14) and the conventional cell measures 5.424, 8.117 and 19.274 Å, with angles of 90.00, 104.82 and 90.00 degrees. The asymmetric unit holds Rb at (0.000, 0.000, 0.000), Rb at (0.200, 0.133, 0.711), Au at (0.500, 0.000, 0.500), Br at (0.178, 0.165, 0.409), Br at (0.208, 0.552, 0.686) and Br at (0.419, 0.744, 0.919).

=====

Entry 17:
First-principles (PBE-GGA) data for an optimized crystal structure of Rb5Au4Br, as listed in Alexandria.

The total energy is -50.39 eV/cell. As for the theoretical density: 4.85 g cm⁻³. As for the uncorrected formation energy: -54 kJ/mol of atoms.

The space group is Immm (No. 71) and the conventional cell measures 4.976, 7.070 and 25.206 Å, with angles of 90.00, 90.00 and 90.00 degrees. The asymmetric unit holds Rb at (0.000, 0.000, 0.000), Rb at (0.000, 0.000, 0.201), Rb at (0.000, 0.000, 0.402), Au at (0.000, 0.500, 0.199), Au at (0.000, 0.500, 0.400) and Br at (0.000, 0.500, 0.000).

=====

Entry 18:
First-principles (PBE-GGA) data for an optimized crystal structure of Rb2AuBr, as listed in Alexandria.

The total energy is -32.69 eV/cell. As for the theoretical density: 4.22 g cm⁻³. As for the uncorrected formation energy: -97 kJ/mol of atoms.

The space group is R-3m (No. 166, hexagonal axes) and the conventional cell measures 4.9731, 4.9731 and 24.6450 Å, with angles of 90.00, 90.00 and 120.00 degrees. The asymmetric unit holds Rb at (0.0000, 0.0000, 0.2482), Au at (0.0000, 0.0000, 0.0000) and Br at (0.0000, 0.0000, 0.5000).

=====

Entry 19:
First-principles (PBE-GGA) data for an optimized crystal structure of RbAuBr, as listed in Alexandria.

The total energy is -17.13 eV/cell. As for the theoretical density: 4.85 g cm⁻³. As for the uncorrected formation energy: -85 kJ/mol of atoms.

The space group is P-1 (No. 2) and the conventional cell measures 5.393, 5.399 and 8.745 Å, with angles of 87.17, 87.09 and 77.63 degrees. The asymmetric unit holds Rb at (0.214, 0.218, 0.240), Au at (0.393, 0.391, 0.610) and Br at (0.188, 0.184, 0.838).

=====

Entry 20:
First-principles (PBE-GGA) data for an optimized crystal structure of Rb2AuBr3, as listed in Alexandria.

The total energy is -33.96 eV/cell. As for the theoretical density: 4.19 g cm⁻³. As for the uncorrected formation energy: -109 kJ/mol of atoms.

The space group is Immm (No. 71) and the conventional cell measures 4.728, 6.049 and 16.847 Å, with angles of 90.00, 90.00 and 90.00 degrees. The asymmetric unit holds Rb at (0.000, 0.000, 0.141), Au at (0.000, 0.000, 0.500), Br at (0.000, 0.000, 0.348) and Br at (0.000, 0.500, 0.500).